A plane-wave DFT calculation with GGA-PBE was carried out for a relaxed structure of Mg2ZnCd.

Computed properties:
Crystal system: monoclinic
Symmetry: C2/m
Polymorph energy (0 for the lowest one): 0.004 eV/atom
Formation energy: -84 meV/atom

```
Mg2ZnCd
1.0
5.075 0.000 0.011
0.000 6.256 0.000
-0.692 0.000 10.026
Mg Zn Cd
8 4 4
Cartesian
3.944 1.602 1.111
0.440 1.602 8.926
0.440 4.654 8.926
3.944 4.654 1.111
3.598 4.730 6.124
0.786 4.730 3.913
0.786 1.526 3.913
3.598 1.526 6.124
1.045 0.000 6.430
3.338 0.000 3.607
1.391 3.128 1.417
2.992 3.128 8.620
2.953 0.000 8.607
1.430 0.000 1.430
3.299 3.128 3.594
1.084 3.128 6.443
```